Material: Na2YTlSe
Method: DFT, GGA-PBE
State: relaxed

Properties
- formation energy without anion corrections (eV/atom) = 0.04
- ρ (g/cm3) = 3.0
- calculated volume (Å³ per cell) = 228.1
- energy relative to the lowest polymorph listed for this composition (eV/atom) = 0.000
- magnetic moment (Bohr magnetons per cell) = 0.00
- D(E_F) (states/eV per cell) = 2.8
- uncorrected energy (eV/atom) = -2.952
- crystal system = tetragonal

The structure in CIF format:
```
data_Na2YTlSe
_cell_length_a 6.5800
_cell_length_b 6.5800
_cell_length_c 5.2680
_cell_angle_alpha 90.00
_cell_angle_beta 90.00
_cell_angle_gamma 90.00
_space_group_name_H-M_alt 'P 4/m m m'
_space_group_IT_number 123
_space_group_name_Hall '-P 4 2'
loop_
_atom_site_label
_atom_site_fract_x
_atom_site_fract_y
_atom_site_fract_z
_atom_site_occupancy
Na1 0.0000 0.5000 0.0000 1
Y1 0.0000 0.0000 0.0000 1
Tl1 0.5000 0.5000 0.5000 1
Se1 0.0000 0.0000 0.5000 1
```